1 | The following is a GGA-PBE calculation of a relaxed structure of PrSmTe2, from Alexandria.

CIF file:
```
data_PrSmTe2
_space_group_name_H-M_alt 'R 3 m'
_space_group_IT_number 160
_space_group_name_Hall 'R 3 -2"'
_cell_length_a 4.3614
_cell_length_b 4.3614
_cell_length_c 23.4018
_cell_angle_alpha 90.00
_cell_angle_beta 90.00
_cell_angle_gamma 120.00
loop_
_atom_site_label
_atom_site_type_symbol
_atom_site_fract_x
_atom_site_fract_y
_atom_site_fract_z
Pr1 Pr 0.0000 0.0000 0.0000
Sm1 Sm 0.0000 0.0000 0.1751
Te1 Te 0.0000 0.0000 0.5848
Te2 Te 0.0000 0.0000 0.7568
```

***

2 | The following is a GGA-PBE calculation of a relaxed structure of PrSmTe2, from Alexandria.

CIF file:
```
data_PrSmTe2
_space_group_name_H-M_alt 'P 4/m m m'
_space_group_IT_number 123
_space_group_name_Hall '-P 4 2'
_cell_length_a 3.8731
_cell_length_b 3.8731
_cell_length_c 7.7505
_cell_angle_alpha 90.00
_cell_angle_beta 90.00
_cell_angle_gamma 90.00
loop_
_atom_site_label
_atom_site_type_symbol
_atom_site_fract_x
_atom_site_fract_y
_atom_site_fract_z
Pr1 Pr 0.0000 0.0000 0.0000
Sm1 Sm 0.0000 0.0000 0.5000
Te1 Te 0.5000 0.5000 0.2547
```

***

Need the numbers? Relative energies in meV/atom: 1 0; 2 116.

***

1 | The following is a GGA-PBE calculation of a relaxed structure of PrSmTe2, from Alexandria.

CIF file:
```
data_PrSmTe2
_space_group_name_H-M_alt 'C 1 2/m 1'
_space_group_IT_number 12
_cell_length_a 7.7644
_cell_length_b 4.5077
_cell_length_c 7.7604
_cell_angle_alpha 90.00
_cell_angle_beta 109.71
_cell_angle_gamma 90.00
loop_
_space_group_symop_operation_xyz
'x,y,z'
'-x,-y,-z'
'-x,y,-z'
'x,-y,z'
'x+1/2,y+1/2,z'
'-x+1/2,-y+1/2,-z'
'-x+1/2,y+1/2,-z'
'x+1/2,-y+1/2,z'
loop_
_atom_site_label
_atom_site_type_symbol
_atom_site_fract_x
_atom_site_fract_y
_atom_site_fract_z
Pr1 Pr 0.0000 0.0000 0.0000
Sm1 Sm 0.0000 0.5000 0.5000
Te1 Te 0.2476 0.0000 0.7430
```

***

2 | The following is a GGA-PBE calculation of a relaxed structure of PrSmTe2, from Alexandria.

CIF file:
```
data_PrSmTe2
_space_group_name_H-M_alt 'F m -3 m'
_space_group_IT_number 225
_space_group_name_Hall '-F 4 2 3'
_cell_length_a 7.7436
_cell_length_b 7.7436
_cell_length_c 7.7436
_cell_angle_alpha 90.00
_cell_angle_beta 90.00
_cell_angle_gamma 90.00
loop_
_atom_site_label
_atom_site_type_symbol
_atom_site_fract_x
_atom_site_fract_y
_atom_site_fract_z
Pr1 Pr 0.0000 0.0000 0.0000
Sm1 Sm 0.0000 0.0000 0.5000
Te1 Te 0.2500 0.2500 0.2500
```

***

Need the numbers? Relative energies in meV/atom: 1 0; 2 105.

***

1 | The following is a GGA-PBE calculation of a relaxed structure of PrSm6Te8, from Alexandria.

CIF file:
```
data_PrSm6Te8
_space_group_name_H-M_alt 'R -3'
_space_group_IT_number 148
_space_group_name_Hall '-R 3'
_cell_length_a 9.4495
_cell_length_b 9.4495
_cell_length_c 18.8857
_cell_angle_alpha 90.00
_cell_angle_beta 90.00
_cell_angle_gamma 120.00
loop_
_atom_site_label
_atom_site_type_symbol
_atom_site_fract_x
_atom_site_fract_y
_atom_site_fract_z
Pr1 Pr 0.0000 0.0000 0.0000
Sm1 Sm 0.0038 0.3817 0.0761
Te1 Te 0.0000 0.0000 0.3263
Te2 Te 0.0055 0.7215 0.0922
```

***

2 | The following is a GGA-PBE calculation of a relaxed structure of PrSm6Te8, from Alexandria.

CIF file:
```
data_PrSm6Te8
_space_group_name_H-M_alt 'F m -3 m'
_space_group_IT_number 225
_space_group_name_Hall '-F 4 2 3'
_cell_length_a 12.5330
_cell_length_b 12.5330
_cell_length_c 12.5330
_cell_angle_alpha 90.00
_cell_angle_beta 90.00
_cell_angle_gamma 90.00
loop_
_atom_site_label
_atom_site_type_symbol
_atom_site_fract_x
_atom_site_fract_y
_atom_site_fract_z
Pr1 Pr 0.0000 0.0000 0.0000
Sm1 Sm 0.0000 0.2500 0.2500
Te1 Te 0.0000 0.0000 0.2592
Te2 Te 0.2500 0.2500 0.2500
```

***

Need the numbers? Relative energies in meV/atom: 1 122; 2 0.

***

1 | The following is a GGA-PBE calculation of a relaxed structure of Pr2Sm2Te3, from Alexandria.

CIF file:
```
data_Pr2Sm2Te3
_space_group_name_H-M_alt 'C 1 2/m 1'
_space_group_IT_number 12
_cell_length_a 16.5763
_cell_length_b 4.3418
_cell_length_c 7.4125
_cell_angle_alpha 90.00
_cell_angle_beta 116.30
_cell_angle_gamma 90.00
loop_
_space_group_symop_operation_xyz
'x,y,z'
'-x,-y,-z'
'-x,y,-z'
'x,-y,z'
'x+1/2,y+1/2,z'
'-x+1/2,-y+1/2,-z'
'-x+1/2,y+1/2,-z'
'x+1/2,-y+1/2,z'
loop_
_atom_site_label
_atom_site_type_symbol
_atom_site_fract_x
_atom_site_fract_y
_atom_site_fract_z
Pr1 Pr 0.1250 0.0000 0.3015
Sm1 Sm 0.1121 0.5000 0.7637
Te1 Te 0.0000 0.5000 0.0000
Te2 Te 0.2470 0.0000 0.7677
```

***

2 | The following is a GGA-PBE calculation of a relaxed structure of Pr2Sm2Te3, from Alexandria.

CIF file:
```
data_Pr2Sm2Te3
_space_group_name_H-M_alt 'I 21 3'
_space_group_IT_number 199
_space_group_name_Hall 'I 2b 2c 3'
_cell_length_a 9.4175
_cell_length_b 9.4175
_cell_length_c 9.4175
_cell_angle_alpha 90.00
_cell_angle_beta 90.00
_cell_angle_gamma 90.00
loop_
_atom_site_label
_atom_site_type_symbol
_atom_site_fract_x
_atom_site_fract_y
_atom_site_fract_z
Pr1 Pr 0.0732 0.0732 0.0732
Sm1 Sm 0.1797 0.3203 0.6797
Te1 Te 0.0000 0.2500 0.3793
```

***

Need the numbers? Relative energies in meV/atom: 1 115; 2 0.

***

1 | The following is a GGA-PBE calculation of a relaxed structure of Pr4Sm7Th, from Alexandria.

CIF file:
```
data_Pr4Sm7Th
_space_group_name_H-M_alt 'C 1 2/m 1'
_space_group_IT_number 12
_cell_length_a 12.2513
_cell_length_b 6.1063
_cell_length_c 12.9614
_cell_angle_alpha 90.00
_cell_angle_beta 117.63
_cell_angle_gamma 90.00
loop_
_space_group_symop_operation_xyz
'x,y,z'
'-x,-y,-z'
'-x,y,-z'
'x,-y,z'
'x+1/2,y+1/2,z'
'-x+1/2,-y+1/2,-z'
'-x+1/2,y+1/2,-z'
'x+1/2,-y+1/2,z'
loop_
_atom_site_label
_atom_site_type_symbol
_atom_site_fract_x
_atom_site_fract_y
_atom_site_fract_z
Pr1 Pr 0.0607 0.0000 0.3274
Pr2 Pr 0.1381 0.5000 0.7776
Sm1 Sm 0.0000 0.0000 0.0000
Sm2 Sm 0.1331 0.5000 0.5026
Sm3 Sm 0.2105 0.0000 0.9232
Sm4 Sm 0.2487 0.0000 0.6832
Th1 Th 0.0000 0.5000 0.0000
```

***

2 | The following is a GGA-PBE calculation of a relaxed structure of Pr4Sm7Th, from Alexandria.

CIF file:
```
data_Pr4Sm7Th
_space_group_name_H-M_alt 'P -1'
_space_group_IT_number 2
_cell_length_a 6.3731
_cell_length_b 7.3450
_cell_length_c 9.1376
_cell_angle_alpha 90.05
_cell_angle_beta 103.50
_cell_angle_gamma 90.11
loop_
_space_group_symop_operation_xyz
'x,y,z'
'-x,-y,-z'
loop_
_atom_site_label
_atom_site_type_symbol
_atom_site_fract_x
_atom_site_fract_y
_atom_site_fract_z
Pr1 Pr 0.2235 0.0003 0.1653
Pr2 Pr 0.2766 0.2551 0.8285
Sm1 Sm 0.0000 0.0000 0.5000
Sm2 Sm 0.2161 0.5002 0.1740
Sm3 Sm 0.2752 0.7446 0.8268
Sm4 Sm 0.5000 0.2567 0.4994
Th1 Th 0.0000 0.5000 0.5000
```

***

Need the numbers? Relative energies in meV/atom: 1 240; 2 0.

***

1 | The following is a GGA-PBE calculation of a relaxed structure of Pr4Sm5Th, from Alexandria.

CIF file:
```
data_Pr4Sm5Th
_space_group_name_H-M_alt 'P 4/m m m'
_space_group_IT_number 123
_space_group_name_Hall '-P 4 2'
_cell_length_a 3.6620
_cell_length_b 3.6620
_cell_length_c 25.9271
_cell_angle_alpha 90.00
_cell_angle_beta 90.00
_cell_angle_gamma 90.00
loop_
_atom_site_label
_atom_site_type_symbol
_atom_site_fract_x
_atom_site_fract_y
_atom_site_fract_z
Pr1 Pr 0.0000 0.0000 0.1004
Pr2 Pr 0.0000 0.0000 0.3018
Sm1 Sm 0.5000 0.5000 0.0000
Sm2 Sm 0.5000 0.5000 0.2018
Sm3 Sm 0.5000 0.5000 0.4065
Th1 Th 0.0000 0.0000 0.5000
```

***

2 | The following is a GGA-PBE calculation of a relaxed structure of Pr4Sm5Th, from Alexandria.

CIF file:
```
data_Pr4Sm5Th
_space_group_name_H-M_alt 'C 1 2/m 1'
_space_group_IT_number 12
_cell_length_a 26.1867
_cell_length_b 3.6665
_cell_length_c 7.2984
_cell_angle_alpha 90.00
_cell_angle_beta 97.92
_cell_angle_gamma 90.00
loop_
_space_group_symop_operation_xyz
'x,y,z'
'-x,-y,-z'
'-x,y,-z'
'x,-y,z'
'x+1/2,y+1/2,z'
'-x+1/2,-y+1/2,-z'
'-x+1/2,y+1/2,-z'
'x+1/2,-y+1/2,z'
loop_
_atom_site_label
_atom_site_type_symbol
_atom_site_fract_x
_atom_site_fract_y
_atom_site_fract_z
Pr1 Pr 0.0969 0.0000 0.2943
Pr2 Pr 0.2006 0.5000 0.1015
Sm1 Sm 0.0000 0.5000 0.5000
Sm2 Sm 0.0967 0.0000 0.8044
Sm3 Sm 0.1999 0.5000 0.5999
Th1 Th 0.0000 0.5000 0.0000
```

***

Need the numbers? Relative energies in meV/atom: 1 0; 2 5.